! AlNi2Hg2 (PBE, optimized geometry); values from VASP
! Formation energy   0.01 eV per atom
&SYSTEM
  ibrav = 0, nat = 10, ntyp = 3
/
ATOMIC_SPECIES
Hg 200.59 Hg.upf
Ni 58.69 Ni.upf
Al 26.98 Al.upf
CELL_PARAMETERS angstrom
-3.729 1.517 4.859
-4.392 -4.004 -2.121
1.656 -2.984 2.203
ATOMIC_POSITIONS crystal
Hg 0.167 0.667 0.500
Hg 0.667 0.833 0.500
Hg 0.333 0.167 0.500
Hg 0.833 0.333 0.500
Ni 0.639 0.139 0.000
Ni 0.139 0.361 0.000
Ni 0.861 0.639 0.000
Ni 0.361 0.861 0.000
Al 0.500 0.500 0.000
Al 0.000 0.000 0.000

***

! AlNi2Hg (PBE, optimized geometry); values from VASP
! Polymorph energy (0 for the lowest one)   379 meV per atom
! Formation energy   0.14 eV per atom
&SYSTEM
  ibrav = 0, nat = 8, ntyp = 3
/
ATOMIC_SPECIES
Al 26.98 Al.upf
Ni 58.69 Ni.upf
Hg 200.59 Hg.upf
CELL_PARAMETERS angstrom
6.768 0.000 0.000
0.000 6.768 0.000
3.384 3.384 2.676
ATOMIC_POSITIONS crystal
Al 0.250 0.750 0.500
Al 0.500 0.500 0.000
Ni 0.375 0.404 0.750
Ni 0.154 0.625 0.250
Ni 0.875 0.846 0.750
Ni 0.596 0.125 0.250
Hg 0.000 0.000 0.000
Hg 0.750 0.250 0.500

***

! Al2NiHg (PBE, optimized geometry); values from VASP
! Formation energy   0.14 eV per atom
&SYSTEM
  ibrav = 0, nat = 8, ntyp = 3
/
ATOMIC_SPECIES
Ni 58.69 Ni.upf
Hg 200.59 Hg.upf
Al 26.98 Al.upf
CELL_PARAMETERS angstrom
4.074 0.000 0.000
0.000 4.074 0.000
2.037 2.037 8.612
ATOMIC_POSITIONS crystal
Ni 0.250 0.750 0.500
Ni 0.500 0.500 0.000
Hg 0.000 0.000 0.000
Hg 0.750 0.250 0.500
Al 0.875 0.837 0.750
Al 0.163 0.625 0.250
Al 0.587 0.125 0.250
Al 0.375 0.413 0.750

***

! Al3NiHg (PBE, optimized geometry); values from VASP
! Polymorph energy (0 for the lowest one)   0 meV per atom
! Formation energy   -0.08 eV per atom
&SYSTEM
  ibrav = 0, nat = 5, ntyp = 3
/
ATOMIC_SPECIES
Ni 58.69 Ni.upf
Al 26.98 Al.upf
Hg 200.59 Hg.upf
CELL_PARAMETERS angstrom
-3.922 -0.888 -2.179
-1.188 -2.909 3.324
-2.031 3.416 2.263
ATOMIC_POSITIONS crystal
Ni 0.000 0.000 0.000
Al 0.500 0.000 0.000
Al 0.000 0.500 0.000
Al 0.000 0.000 0.500
Hg 0.500 0.500 0.500